DFT (GGA-PBE) results for an optimized crystal structure of Er4Ga16Pd3.

Summary:
D(E_F)   4.975 states/eV/cell
Volume   424.9 Å³ per cell
Calculated total energy   -95.2 eV per formula unit

Cell lengths 6.2109, 6.2109, 11.0138 Å; angles 90.00, 90.00, 90.00 degrees
Closest atoms and distances in Å follow each position.
Fractional positions:
1 Ga 0.5000 0.5000 0.7992  8 Ga 2.87-2.88, 4 Er 3.11
2 Ga 0.0000 0.0000 0.2317  1 Pd 2.55, 4 Ga 2.74
3 Ga 0.5000 0.5000 0.2008  8 Ga 2.87-2.88, 4 Er 3.11
4 Ga 0.2559 0.7441 0.6257  2 Pd 2.60, 3 Ga 2.74-2.87
5 Ga 0.7107 0.7107 0.0000  1 Pd 2.54, 2 Ga 2.62
6 Ga 0.2559 0.7441 0.3743  2 Pd 2.60, 3 Ga 2.74-2.87
7 Er 0.0000 0.5000 0.1898  12 Ga 2.99-3.14
8 Ga 0.7107 0.2893 0.0000  1 Pd 2.54, 2 Ga 2.62
9 Ga 0.7441 0.7441 0.6257  2 Pd 2.60, 3 Ga 2.74-2.87
10 Ga 0.0000 0.0000 0.7683  1 Pd 2.55, 4 Ga 2.74
11 Ga 0.7441 0.2559 0.6257  2 Pd 2.60, 3 Ga 2.74-2.87
12 Pd 0.0000 0.5000 0.5000  8 Ga 2.60
13 Ga 0.2559 0.2559 0.3743  2 Pd 2.60, 3 Ga 2.74-2.87
14 Ga 0.7441 0.2559 0.3743  2 Pd 2.60, 3 Ga 2.74-2.87
15 Ga 0.2893 0.2893 0.0000  1 Pd 2.54, 2 Ga 2.62
16 Er 0.0000 0.5000 0.8102  12 Ga 2.99-3.14
17 Ga 0.7441 0.7441 0.3743  2 Pd 2.60, 3 Ga 2.74-2.87
18 Ga 0.2559 0.2559 0.6257  2 Pd 2.60, 3 Ga 2.74-2.87
19 Er 0.5000 0.0000 0.1898  12 Ga 2.99-3.14
20 Pd 0.5000 0.0000 0.5000  8 Ga 2.60
21 Pd 0.0000 0.0000 0.0000  6 Ga 2.54-2.55
22 Ga 0.2893 0.7107 0.0000  1 Pd 2.54, 2 Ga 2.62
23 Er 0.5000 0.0000 0.8102  12 Ga 2.99-3.14

---

DFT (GGA-PBE) results for an optimized crystal structure of Ac2LaCeP4.

Summary:
D(E_F)   6.061 states/eV/cell
Volume   227.7 Å³ per cell
Calculated total energy   -52.6 eV per formula unit

Cell lengths 4.3162, 7.4823, 7.4737 Å; angles 70.61, 90.00, 90.00 degrees
Closest atoms and distances in Å follow each position.
Fractional positions:
1 P 0.5000 0.2680 0.7387  2 Ce 2.97, 1 La 3.01, 3 Ac 3.09-3.14
2 P 0.5000 0.7320 0.2613  2 Ce 2.97, 1 La 3.01, 3 Ac 3.09-3.14
3 La 0.5000 0.5000 0.0000  6 P 3.01
4 P 0.0000 0.2648 0.2513  1 Ce 2.95, 2 La 3.01, 3 Ac 3.10-3.15
5 Ce 0.0000 0.5000 0.5000  6 P 2.95-2.97
6 Ac 0.5000 0.0000 0.5000  6 P 3.09-3.10
7 Ac 0.0000 0.0000 0.0000  6 P 3.14-3.15
8 P 0.0000 0.7352 0.7487  1 Ce 2.95, 2 La 3.01, 3 Ac 3.10-3.15

---

DFT (GGA-PBE) results for an optimized crystal structure of Ge3SI.

Summary:
D(E_F)   7.629 states/eV/cell
Volume   166.0 Å³ per cell
Calculated total energy   -12.7 eV per formula unit

Cell lengths 5.4964, 5.4964, 5.4964 Å; angles 90.00, 90.00, 90.00 degrees
Closest atoms and distances in Å follow each position.
Fractional positions:
1 Ge 0.0000 0.5000 0.0000  2 I 2.75
2 Ge 0.5000 0.0000 0.0000  2 I 2.75
3 S 0.5000 0.5000 0.5000  12 Ge 3.89
4 I 0.0000 0.0000 0.0000  6 Ge 2.75
5 Ge 0.0000 0.0000 0.5000  2 I 2.75

---

DFT (GGA-PBE) results for an optimized crystal structure of Re8Sb.

Summary:
D(E_F)   4.371 states/eV/cell
Volume   142.5 Å³ per cell
Calculated total energy   -102.3 eV per formula unit

Cell lengths 6.3014, 6.3014, 6.3014 Å; angles 95.75, 95.75, 143.10 degrees
Closest atoms and distances in Å follow each position.
Fractional positions:
1 Re 0.3199 0.6801 0.0000  8 Re 2.60-2.87
2 Re 0.0000 0.6553 0.6553  11 Re 2.63-2.87, 1 Sb 2.91
3 Re 0.3447 0.0000 0.3447  11 Re 2.63-2.87, 1 Sb 2.91
4 Re 0.6801 0.6801 0.3602  8 Re 2.60-2.87
5 Re 0.6801 0.3199 0.0000  8 Re 2.60-2.87
6 Re 0.0000 0.3447 0.3447  11 Re 2.63-2.87, 1 Sb 2.91
7 Sb 0.0000 0.0000 0.0000  12 Re 2.91-2.93
8 Re 0.6553 0.0000 0.6553  11 Re 2.63-2.87, 1 Sb 2.91
9 Re 0.3199 0.3199 0.6398  8 Re 2.60-2.87

---

DFT (GGA-PBE) results for an optimized crystal structure of LiLa2CoSi.

Summary:
D(E_F)   4.260 states/eV/cell
Volume   128.0 Å³ per cell
Calculated total energy   -25.5 eV per formula unit

Cell lengths 5.3858, 5.3858, 4.4121 Å; angles 90.00, 90.00, 90.00 degrees
Closest atoms and distances in Å follow each position.
Fractional positions:
1 Li 0.5000 0.5000 0.5000  8 La 3.48, 4 Si 3.81
2 Co 0.0000 0.0000 0.0000  2 Si 2.21
3 La 0.5000 0.0000 0.0000  2 Co 2.69
4 La 0.0000 0.5000 0.0000  2 Co 2.69
5 Si 0.0000 0.0000 0.5000  2 Co 2.21

---

DFT (GGA-PBE) results for an optimized crystal structure of Rb2NaTlI4.

Summary:
D(E_F)   0.000 states/eV/cell
Volume   367.1 Å³ per cell
Calculated total energy   -21.5 eV per formula unit

Cell lengths 5.0484, 8.7627, 8.7892 Å; angles 70.78, 90.00, 90.00 degrees
Closest atoms and distances in Å follow each position.
Fractional positions:
1 I 0.0000 0.2712 0.2565  1 Na 3.38, 2 Tl 3.54, 3 Rb 3.64-3.78
2 Rb 0.5000 0.0000 0.5000  6 I 3.63-3.64
3 I 0.0000 0.7288 0.7435  1 Na 3.38, 2 Tl 3.54, 3 Rb 3.64-3.78
4 I 0.5000 0.2766 0.7304  2 Na 3.42, 1 Tl 3.54, 3 Rb 3.63-3.75
5 Tl 0.5000 0.5000 0.0000  6 I 3.54
6 Rb 0.0000 0.0000 0.0000  6 I 3.75-3.78
7 I 0.5000 0.7234 0.2696  2 Na 3.42, 1 Tl 3.54, 3 Rb 3.63-3.75
8 Na 0.0000 0.5000 0.5000  6 I 3.38-3.42

---

DFT (GGA-PBE) results for an optimized crystal structure of CaHo2Se4.

Summary:
Volume   397.4 Å³ per cell
Calculated total energy   -38.5 eV per formula unit

Cell lengths 8.3452, 8.2221, 8.2221 Å; angles 60.52, 59.50, 59.50 degrees
Closest atoms and distances in Å follow each position.
Fractional positions:
1 Ho 0.0000 0.0000 0.5000  6 Se 2.83-2.89
2 Se 0.7494 0.7590 0.7422  3 Ho 2.88-2.89, 2 Ca 2.99
3 Ho 0.0000 0.0000 0.0000  6 Se 2.86-2.88
4 Ca 0.5000 0.5000 0.0000  6 Se 2.92-2.99
5 Se 0.7494 0.2422 0.2590  3 Ho 2.88-2.89, 2 Ca 2.99
6 Se 0.7678 0.2459 0.7459  3 Ho 2.83-2.86, 1 Ca 2.92
7 Ho 0.5000 0.0000 0.5000  6 Se 2.83-2.89
8 Se 0.2403 0.2459 0.7459  3 Ho 2.83-2.86, 1 Ca 2.92
9 Se 0.2506 0.7578 0.7410  3 Ho 2.88-2.89, 2 Ca 2.99
10 Se 0.2506 0.2410 0.2578  3 Ho 2.88-2.89, 2 Ca 2.99
11 Ho 0.0000 0.5000 0.5000  6 Se 2.86-2.88
12 Se 0.7597 0.7541 0.2541  3 Ho 2.83-2.86, 1 Ca 2.92
13 Ca 0.0000 0.5000 0.0000  6 Se 2.92-2.99
14 Se 0.2322 0.7541 0.2541  3 Ho 2.83-2.86, 1 Ca 2.92

---

DFT (GGA-PBE) results for an optimized crystal structure of LiTcIr2.

Summary:
D(E_F)   4.710 states/eV/cell
Volume   58.6 Å³ per cell
Calculated total energy   -29.8 eV per formula unit

Cell lengths 9.2339, 9.2339, 9.2339 Å; angles 16.99, 16.99, 16.99 degrees
Closest atoms and distances in Å follow each position.
Fractional positions:
1 Li 0.5031 0.5031 0.5031  3 Ir 2.69, 6 Li 2.73, 3 Tc 2.95
2 Ir 0.2499 0.2499 0.2499  3 Li 2.69, 9 Ir 2.73-2.81
3 Ir 0.0019 0.0019 0.0019  3 Tc 2.62, 9 Ir 2.73-2.81
4 Tc 0.7451 0.7451 0.7451  3 Ir 2.62, 6 Tc 2.73

---

DFT (GGA-PBE) results for an optimized crystal structure of NbSi3Hg.

Summary:
D(E_F)   4.936 states/eV/cell
Volume   119.2 Å³ per cell
Calculated total energy   -18.2 eV per formula unit

Cell lengths 4.9210, 4.9210, 4.9210 Å; angles 90.00, 90.00, 90.00 degrees
Closest atoms and distances in Å follow each position.
Fractional positions:
1 Nb 0.5000 0.5000 0.5000  12 Si 3.48
2 Hg 0.0000 0.0000 0.0000  6 Si 2.46
3 Si 0.5000 0.0000 0.0000  2 Hg 2.46
4 Si 0.0000 0.5000 0.0000  2 Hg 2.46
5 Si 0.0000 0.0000 0.5000  2 Hg 2.46

---

DFT (GGA-PBE) results for an optimized crystal structure of TbPm3Si2.

Summary:
D(E_F)   11.090 states/eV/cell
Volume   321.1 Å³ per cell
Calculated total energy   -32.8 eV per formula unit

Cell lengths 4.2360, 10.2794, 8.2866 Å; angles 114.03, 90.00, 101.89 degrees
Closest atoms and distances in Å follow each position.
Fractional positions:
1 Pm 0.9753 0.9506 0.7602  4 Si 3.06-3.08
2 Pm 0.5966 0.1933 0.6946  3 Si 3.04-3.07, 1 Pm 3.19
3 Si 0.4339 0.8678 0.9717  1 Si 2.50
4 Si 0.7900 0.5801 0.2704  3 Tb 2.96-3.12, 5 Pm 3.04-3.10
5 Si 0.5661 0.1322 0.0283  1 Si 2.50
6 Tb 0.1839 0.3679 0.0748  5 Si 2.96-3.12
7 Pm 0.3235 0.6470 0.5674  4 Si 3.09-3.16, 3 Pm 3.19-3.42
8 Pm 0.0247 0.0494 0.2398  4 Si 3.06-3.08
9 Pm 0.6765 0.3530 0.4326  4 Si 3.09-3.16, 3 Pm 3.19-3.42
10 Pm 0.4034 0.8067 0.3054  3 Si 3.04-3.07, 1 Pm 3.19
11 Tb 0.8161 0.6321 0.9252  5 Si 2.96-3.12
12 Si 0.2100 0.4199 0.7296  3 Tb 2.96-3.12, 5 Pm 3.04-3.10